An optimized crystal structure of In2Ag13. Source: the Alexandria database, functional PBE.

Computed properties:
space-group type: P-1
DFT formation energy: -0.004 eV/atom

abc: 5.097 7.283 8.976
angles: 122.99 96.02 89.46
Positions (direct):
1 Ag 0.136 0.534 0.802
2 Ag 0.334 0.334 0.000
3 Ag 0.201 0.791 0.195
4 Ag 0.666 0.666 0.000
5 Ag 0.864 0.466 0.198
6 Ag 0.533 0.130 0.196
7 Ag 0.270 0.070 0.602
8 Ag 0.397 0.601 0.399
9 Ag 0.467 0.870 0.804
10 Ag 0.603 0.399 0.601
11 Ag 0.730 0.930 0.398
12 Ag 0.000 0.000 0.000
13 Ag 0.799 0.209 0.805
14 In 0.070 0.253 0.394
15 In 0.930 0.747 0.606



An optimized crystal structure of SrAl2. Source: the Alexandria database, functional PBE.

Computed properties:
space-group type: Pa-3
DFT formation energy: 0.675 eV/atom

abc: 7.567 7.567 7.567
angles: 90.00 90.00 90.00
Positions (direct):
1 Sr 0.500 0.000 0.500
2 Sr 0.000 0.500 0.500
3 Sr 0.000 0.000 0.000
4 Sr 0.500 0.500 0.000
5 Al 0.096 0.904 0.596
6 Al 0.096 0.596 0.096
7 Al 0.596 0.904 0.904
8 Al 0.596 0.596 0.404
9 Al 0.904 0.404 0.904
10 Al 0.404 0.404 0.596
11 Al 0.404 0.096 0.096
12 Al 0.904 0.096 0.404



An optimized crystal structure of ZnRuBr2. Source: the Alexandria database, functional PBE.

Computed properties:
formation energy (no corrections): 190 meV per atom
space-group type: P4mm

abc: 3.441 3.440 7.785
angles: 90.00 90.00 90.00
Each line ends with the local moment (μB).
Positions (direct):
1 Ru 0.000 0.000 0.565  1.78
2 Zn 0.500 0.500 0.696  -0.06
3 Br 0.000 0.000 0.896  0.03
4 Br 0.500 0.500 0.343  0.16



Taking the records one at a time from the top gives DOS at the Fermi energy values of 3.2 9.5 1.0 states/eV/cell.
Taking the records one at a time from the top gives magnetization values of 0.00 0.00 0.50 μB/atom.